(1)
## SrCa3O (PBE)

Data for an optimized crystal structure of SrCa3O.

Summary:
ρ   1.11 g/cm³
Raw formation energy   1.27 eV per atom
D(E_F)   10.31 states/eV/cell
Energy above the lowest structure with this stoichiometry   2133 meV per atom

abc: 6.937 6.937 6.937
angles: 90.00 90.00 90.00
Element x y z (fractional)
1 Sr 0.000 0.000 0.000
2 Ca 0.000 0.500 0.000
3 Ca 0.000 0.000 0.500
4 Ca 0.500 0.000 0.000
5 O 0.500 0.500 0.500



(2)
## NaCa2Sn (PBE)

Data for an optimized crystal structure of NaCa2Sn.

Summary:
ρ   2.62 g/cm³
D(E_F)   6.24 states/eV/cell
Formation energy   0.0309 eV/atom

abc: 5.023 5.023 11.695
angles: 77.60 77.60 90.00
Element x y z (fractional)
1 Na 0.500 0.500 0.000
2 Na 0.250 0.750 0.500
3 Ca 0.644 0.125 0.250
4 Ca 0.106 0.625 0.250
5 Ca 0.375 0.356 0.750
6 Ca 0.875 0.894 0.750
7 Sn 0.000 0.000 0.000
8 Sn 0.750 0.250 0.500



(3)
## Li6Al7 (PBE)

Data for an optimized crystal structure of Li6Al7.

Summary:
ρ   1.64 g/cm³
D(E_F)   7.29 states/eV/cell
Formation energy   -0.0631 eV/atom

abc: 9.871 9.871 9.871
angles: 31.48 31.48 31.48
Element x y z (fractional)
1 Al 0.916 0.411 0.411
2 Al 0.411 0.411 0.916
3 Al 0.411 0.916 0.411
4 Al 0.084 0.589 0.589
5 Al 0.589 0.084 0.589
6 Al 0.589 0.589 0.084
7 Al 0.500 0.500 0.500
8 Li 0.951 0.951 0.951
9 Li 0.049 0.049 0.049
10 Li 0.849 0.849 0.849
11 Li 0.151 0.151 0.151
12 Li 0.666 0.666 0.666
13 Li 0.334 0.334 0.334



(4)
## MnHg2Os (PBE)

Data for an optimized crystal structure of MnHg2Os.

Summary:
ρ   14.87 g/cm³
D(E_F)   2.95 states/eV/cell
Formation energy   0.4509 eV/atom
Energy above the lowest structure with this stoichiometry   72 meV per atom

abc: 9.796 9.796 9.796
angles: 17.25 17.25 17.25
Site moments in Bohr magnetons follow the coordinates.
Element x y z (fractional)
1 Hg 0.007 0.007 0.007  -0.01
2 Hg 0.240 0.240 0.240  -0.01
3 Mn 0.491 0.491 0.491  3.01
4 Os 0.761 0.761 0.761  -0.16



(5)
## Tb2PmIn3Te6 (PBE)

Data for an optimized crystal structure of Tb2PmIn3Te6.

Summary:
ρ   6.26 g/cm³
Raw formation energy   -0.98 eV per atom
D(E_F)   1.35 states/eV/cell

abc: 7.706 7.706 8.511
angles: 98.68 98.68 120.00
Element x y z (fractional)
1 Tb 0.333 0.667 0.000
2 Tb 0.667 0.333 0.000
3 Pm 0.000 0.000 0.000
4 In 0.165 0.835 0.500
5 In 0.835 0.165 0.500
6 In 0.500 0.500 0.500
7 Te 0.926 0.588 0.778
8 Te 0.735 0.735 0.221
9 Te 0.074 0.412 0.222
10 Te 0.588 0.926 0.778
11 Te 0.265 0.265 0.779
12 Te 0.412 0.074 0.222



(6)
## Y2TlHg (PBE)

Data for an optimized crystal structure of Y2TlHg.

Summary:
ρ   8.39 g/cm³
D(E_F)   3.15 states/eV/cell
Formation energy   -0.3361 eV/atom

abc: 9.636 9.636 9.636
angles: 22.54 22.54 22.54
Element x y z (fractional)
1 Hg 0.250 0.250 0.250
2 Tl 0.750 0.750 0.750
3 Y 0.997 0.997 0.997
4 Y 0.503 0.503 0.503



(7)
## Ho12Cd3C5 (PBE)

Data for an optimized crystal structure of Ho12Cd3C5.

Summary:
ρ   8.02 g/cm³
D(E_F)   38.27 states/eV/cell
Formation energy   -0.0925 eV/atom

abc: 13.674 13.674 13.674
angles: 109.47 109.47 109.47
Element x y z (fractional)
1 C 0.125 0.375 0.250
2 C 0.000 0.500 0.000
3 C 0.000 0.000 0.000
4 C 0.375 0.250 0.125
5 C 0.500 0.000 0.500
6 C 0.500 0.500 0.000
7 C 0.125 0.750 0.375
8 C 0.750 0.125 0.875
9 C 0.750 0.625 0.375
10 C 0.375 0.125 0.750
11 C 0.625 0.875 0.250
12 C 0.500 0.500 0.500
13 C 0.500 0.000 0.000
14 C 0.000 0.000 0.500
15 C 0.250 0.375 0.625
16 C 0.250 0.875 0.125
17 C 0.000 0.500 0.500
18 C 0.875 0.250 0.625
19 C 0.625 0.750 0.875
20 C 0.875 0.625 0.750
21 Ho 0.700 0.112 0.016
22 Ho 0.316 0.516 0.404
23 Ho 0.984 0.388 0.300
24 Ho 0.516 0.200 0.112
25 Ho 0.588 0.700 0.684
26 Ho 0.984 0.596 0.184
27 Ho 0.316 0.800 0.412
28 Ho 0.096 0.912 0.112
29 Ho 0.596 0.984 0.684
30 Ho 0.700 0.588 0.184
31 Ho 0.800 0.484 0.388
32 Ho 0.816 0.904 0.016
33 Ho 0.112 0.700 0.516
34 Ho 0.388 0.404 0.088
35 Ho 0.088 0.904 0.388
36 Ho 0.412 0.112 0.596
37 Ho 0.088 0.184 0.200
38 Ho 0.484 0.684 0.096
39 Ho 0.816 0.912 0.300
40 Ho 0.112 0.412 0.096
41 Ho 0.388 0.984 0.800
42 Ho 0.596 0.612 0.412
43 Ho 0.904 0.816 0.516
44 Ho 0.800 0.316 0.912
45 Ho 0.404 0.388 0.588
46 Ho 0.096 0.184 0.484
47 Ho 0.200 0.684 0.088
48 Ho 0.184 0.088 0.700
49 Ho 0.612 0.016 0.200
50 Ho 0.888 0.588 0.904
51 Ho 0.516 0.316 0.904
52 Ho 0.588 0.888 0.404
53 Ho 0.912 0.816 0.800
54 Ho 0.912 0.096 0.612
55 Ho 0.888 0.300 0.484
56 Ho 0.184 0.096 0.984
57 Ho 0.612 0.596 0.912
58 Ho 0.404 0.016 0.316
59 Ho 0.300 0.412 0.816
60 Ho 0.200 0.516 0.612
61 Ho 0.904 0.088 0.888
62 Ho 0.684 0.200 0.588
63 Ho 0.484 0.800 0.888
64 Ho 0.016 0.404 0.816
65 Ho 0.412 0.300 0.316
66 Ho 0.016 0.612 0.700
67 Ho 0.684 0.484 0.596
68 Ho 0.300 0.888 0.984
69 Cd 0.750 0.375 0.125
70 Cd 0.875 0.750 0.125
71 Cd 0.375 0.750 0.625
72 Cd 0.250 0.125 0.375
73 Cd 0.875 0.125 0.250
74 Cd 0.375 0.625 0.250
75 Cd 0.625 0.375 0.750
76 Cd 0.125 0.875 0.750
77 Cd 0.750 0.875 0.625
78 Cd 0.625 0.250 0.375
79 Cd 0.125 0.250 0.875
80 Cd 0.250 0.625 0.875



(8)
## ScP2IrCl (PBE)

Data for an optimized crystal structure of ScP2IrCl.

Summary:
ρ   5.31 g/cm³
Raw formation energy   0.12 eV per atom
D(E_F)   5.54 states/eV/cell
Energy above the lowest structure with this stoichiometry   0 meV per atom

abc: 4.572 4.572 5.006
angles: 90.00 90.00 90.00
Element x y z (fractional)
1 Sc 0.500 0.500 0.500
2 P 0.000 0.500 0.000
3 P 0.500 0.000 0.000
4 Ir 0.000 0.000 0.000
5 Cl 0.000 0.000 0.500



(9)
## SrIn2Br8 (PBE)

Data for an optimized crystal structure of SrIn2Br8.

Summary:
ρ   3.23 g/cm³
Raw formation energy   -1.15 eV per atom
D(E_F)   0.00 states/eV/cell
Energy above the lowest structure with this stoichiometry   11 meV per atom

abc: 7.077 8.619 8.619
angles: 71.99 81.76 81.76
Site moments in Bohr magnetons follow the coordinates.
Element x y z (fractional)
1 Sr 0.000 0.000 0.000  0.00
2 In 0.664 0.796 0.796  0.00
3 In 0.336 0.204 0.204  0.00
4 Br 0.233 0.301 0.911  0.00
5 Br 0.767 0.089 0.699  0.00
6 Br 0.297 0.807 0.807  0.00
7 Br 0.703 0.193 0.193  0.00
8 Br 0.233 0.911 0.301  0.00
9 Br 0.767 0.699 0.089  0.00
10 Br 0.810 0.619 0.619  0.06
11 Br 0.190 0.381 0.381  0.06



(10)
## Cs2AcH4 (PBE)

Data for an optimized crystal structure of Cs2AcH4.

Summary:
ρ   4.30 g/cm³
D(E_F)   3.10 states/eV/cell

abc: 4.851 4.851 8.848
angles: 74.09 74.09 90.00
Element x y z (fractional)
1 Cs 0.343 0.343 0.314
2 Cs 0.657 0.657 0.686
3 H 0.154 0.154 0.692
4 H 0.846 0.846 0.308
5 H 0.000 0.500 0.000
6 H 0.500 0.000 0.000
7 Ac 0.000 0.000 0.000



(11)
## BaY2Tc (PBE)

Data for an optimized crystal structure of BaY2Tc.

Summary:
ρ   6.17 g/cm³
D(E_F)   5.48 states/eV/cell
Formation energy   0.6575 eV/atom
Energy above the lowest structure with this stoichiometry   553 meV per atom

abc: 5.027 5.024 4.402
angles: 90.00 90.00 90.00
Site moments in Bohr magnetons follow the coordinates.
Element x y z (fractional)
1 Ba 0.500 0.000 0.500  -0.01
2 Tc 0.000 0.500 0.500  0.41
3 Y 0.000 0.000 0.000  -0.04
4 Y 0.500 0.500 0.000  -0.04



(12)
## La3Tb2DyBi6 (PBE)

Data for an optimized crystal structure of La3Tb2DyBi6.

Summary:
ρ   8.67 g/cm³
D(E_F)   2.25 states/eV/cell
Formation energy   -0.9621 eV/atom

abc: 7.973 7.973 7.943
angles: 99.62 99.62 119.99
Element x y z (fractional)
1 La 0.167 0.833 0.500
2 La 0.833 0.167 0.500
3 La 0.500 0.500 0.500
4 Tb 0.334 0.666 0.000
5 Tb 0.666 0.334 0.000
6 Dy 0.000 0.000 0.000
7 Bi 0.921 0.588 0.762
8 Bi 0.747 0.747 0.238
9 Bi 0.079 0.412 0.238
10 Bi 0.588 0.921 0.762
11 Bi 0.253 0.253 0.762
12 Bi 0.412 0.079 0.238



Record order is preserved below.
VASP energy: -1.260; -2.300; -2.962; -4.800; -4.404; -4.235; -5.282; -5.451; -3.015; -2.940; -5.647; -5.290 eV per atom
Record order is preserved below.
Spin magnetization: 0.0; 0.0; 0.0; 3.0; 0.0; 0.0; 0.0; 0.0; 0.2; 0.0; 0.3; 0.0 μB/cell